# 1
# Tl2TcBr2Cl4

A relaxed Tl2TcBr2Cl4 crystal (PBE, Alexandria via LeMat-Bulk).

## Properties
Crystal system: monoclinic
Size of the total moment, μB per formula unit: 3.000
Uncorrected formation energy, eV/atom: -0.816

Cell lengths 12.646, 7.158, 7.267 Å; angles 90.00, 124.38, 90.00 degrees
Space group C2/m (No. 12)
One atom of each set of equivalent atoms:
Tl (0.249, 0.000, 0.225) [4 per cell]
Tc (0.000, 0.500, 0.000) [2 per cell]
Br (0.240, 0.500, 0.291) [4 per cell]
Cl (0.026, 0.266, 0.797) [8 per cell]

=====

# 2
# LaSi2Te

A relaxed LaSi2Te crystal (PBE, Alexandria via LeMat-Bulk).

## Properties
N(E_F), states/eV/atom: 0.79
Crystal system: cubic
Size of the total moment, μB per formula unit: 0.000
Uncorrected formation energy, eV/atom: -0.024

Cell lengths 7.358, 7.358, 7.358 Å; angles 90.00, 90.00, 90.00 degrees
Space group F-43m (No. 216)
One atom of each set of equivalent atoms:
La (0.000, 0.000, 0.000) [4 per cell]
Si (0.000, 0.000, 0.500) [4 per cell]
Si (0.250, 0.250, 0.750) [4 per cell]
Te (0.250, 0.250, 0.250) [4 per cell]

=====

# 3
# SiBiP2O

A relaxed SiBiP2O crystal (PBE, Alexandria via LeMat-Bulk).

## Properties
N(E_F), states/eV/atom: 0.09
Crystal system: tetragonal
Size of the total moment, μB per formula unit: 0.000
Uncorrected formation energy, eV/atom: -0.253

Cell lengths 4.895, 4.895, 3.453 Å; angles 90.00, 90.00, 90.00 degrees
Space group P4/mmm (No. 123)
One atom of each set of equivalent atoms:
Si (0.000, 0.000, 0.000) [1 per cell]
Bi (0.500, 0.500, 0.500) [1 per cell]
P (0.000, 0.500, 0.000) [2 per cell]
O (0.000, 0.000, 0.500) [1 per cell]

=====

# 4
# TiCoReI2

A relaxed TiCoReI2 crystal (PBE, Alexandria via LeMat-Bulk).

## Properties
N(E_F), states/eV/atom: 0.88
Crystal system: tetragonal
Size of the total moment, μB per formula unit: 6.118
Uncorrected formation energy, eV/atom: 1.640

Cell lengths 5.392, 5.392, 4.444 Å; angles 90.00, 90.00, 90.00 degrees
Space group P4/mmm (No. 123)
One atom of each set of equivalent atoms:
Ti (0.000, 0.000, 0.000) [1 per cell]
Co (0.000, 0.000, 0.500) [1 per cell]
Re (0.500, 0.500, 0.500) [1 per cell]
I (0.000, 0.500, 0.000) [2 per cell]

=====

# 5
# TbGa3CuAg

A relaxed TbGa3CuAg crystal (PBE, Alexandria via LeMat-Bulk).

## Properties
N(E_F), states/eV/atom: 0.43
Crystal system: orthorhombic
Size of the total moment, μB per formula unit: 0.000
Formation energy from the elements, meV per atom: -152

Cell lengths 5.800, 12.411, 6.453 Å; angles 90.00, 90.00, 90.00 degrees
Space group Cmcm (No. 63)
One atom of each set of equivalent atoms:
Tb (0.000, 0.197, 0.250) [4 per cell]
Ga (0.000, 0.370, 0.750) [4 per cell]
Ga (0.222, 0.000, 0.000) [8 per cell]
Cu (0.000, 0.418, 0.250) [4 per cell]
Ag (0.000, 0.158, 0.750) [4 per cell]

=====

# 6
# Ac3Cu3Ir2

A relaxed Ac3Cu3Ir2 crystal (PBE, Alexandria via LeMat-Bulk).

## Properties
N(E_F), states/eV/atom: 0.54
Crystal system: orthorhombic
Size of the total moment, μB per formula unit: 0.000
Formation energy from the elements, meV per atom: -380

Cell lengths 4.355, 11.135, 16.155 Å; angles 90.00, 90.00, 90.00 degrees
Space group Cmcm (No. 63)
One atom of each set of equivalent atoms:
Ac (0.000, 0.081, 0.250) [4 per cell]
Ac (0.000, 0.359, 0.084) [8 per cell]
Cu (0.000, 0.074, 0.056) [8 per cell]
Cu (0.000, 0.212, 0.750) [4 per cell]
Ir (0.000, 0.343, 0.617) [8 per cell]

=====

> size of the total moment of number 5 (TbGa3CuAg)?

0.000 μB per formula unit